PBE-GGA KAlCl2, optimized geometry; symmetry = I-42d; energy relative to the lowest polymorph listed for this composition = 136.6 meV per atom; electronic total energy = -3.158 eV/atom; formation energy without anion corrections = -1025 meV/atom
1.0
6.578 0.000 0.000
0.000 6.578 0.000
3.289 3.289 7.515
K Al Cl
2 2 4
Direct
0.000 0.000 0.000
0.750 0.250 0.500
0.500 0.500 0.000
0.250 0.750 0.500
0.599 0.125 0.250
0.151 0.625 0.250
0.375 0.401 0.750
0.875 0.849 0.750